# 1
Below is an optimized crystal structure of LaSm5Al4, with properties calculated at the PBE level.

Volume   27.05 Å³/atom
ΔE_f   -2.9 eV/f.u.
VASP energy   -4.6378 eV/atom
Space group   P4/mmm (123)

Cell: 3.6472 3.6472 20.3381 Å, 90.00 90.00 90.00°
Fractional positions:
La 0.0000 0.0000 0.0000
Sm 0.5000 0.5000 0.1328
Sm 0.5000 0.5000 0.3166
Sm 0.5000 0.5000 0.5000
Sm 0.5000 0.5000 0.6834
Sm 0.5000 0.5000 0.8672
Al 0.0000 0.0000 0.2229
Al 0.0000 0.0000 0.4080
Al 0.0000 0.0000 0.5920
Al 0.0000 0.0000 0.7771

***

# 2
Below is an optimized crystal structure of La3Sm4Al4, with properties calculated at the PBE level.

Volume   29.62 Å³/atom
ΔE_f   -2.1 eV/f.u.
VASP energy   -4.6126 eV/atom
Space group   Immm (71)

Cell: 9.8035 9.8035 9.8035 Å, 148.96 137.57 53.49°
Fractional positions:
La 0.0000 0.0000 0.0000
La 0.3963 0.8963 0.5000
La 0.6037 0.1037 0.5000
Sm 0.0529 0.3228 0.7301
Sm 0.4073 0.6772 0.7301
Sm 0.5927 0.3228 0.2699
Sm 0.9471 0.6772 0.2699
Al 0.1807 0.1807 0.0000
Al 0.3083 0.5000 0.8083
Al 0.6917 0.5000 0.1917
Al 0.8193 0.8193 0.0000

***

# 3
Below is an optimized crystal structure of LaSm3Al8, with properties calculated at the PBE level.

Volume   21.47 Å³/atom
ΔE_f   -6.1 eV/f.u.
Relative energy among the computed polymorphs   0.0 kJ per mole of atoms
VASP energy   -4.5898 eV/atom
Space group   R3m (160)

Cell: 9.8352 9.8352 9.8352 Å, 33.46 33.46 33.46°
Fractional positions:
La 0.0000 0.0000 0.0000
Sm 0.1247 0.1247 0.1247
Sm 0.5002 0.5002 0.5002
Sm 0.6255 0.6255 0.6255
Al 0.0619 0.0619 0.5610
Al 0.0619 0.5610 0.0619
Al 0.0644 0.5633 0.5633
Al 0.3123 0.3123 0.3123
Al 0.5610 0.0619 0.0619
Al 0.5633 0.0644 0.5633
Al 0.5633 0.5633 0.0644
Al 0.8129 0.8129 0.8129

***

# 4
Below is an optimized crystal structure of LaSmAl3, with properties calculated at the PBE level.

Volume   26.04 Å³/atom
ΔE_f   -2.1 eV/f.u.
VASP energy   -4.5938 eV/atom
Space group   Cmcm (63)

Cell: 13.7093 13.7093 4.4108 Å, 90.00 90.00 161.69°
Fractional positions:
La 0.0733 0.9267 0.7500
La 0.9267 0.0733 0.2500
Sm 0.2054 0.7946 0.2500
Sm 0.7946 0.2054 0.7500
Al 0.3264 0.6736 0.2500
Al 0.3800 0.6200 0.7500
Al 0.4760 0.5240 0.7500
Al 0.5240 0.4760 0.2500
Al 0.6200 0.3800 0.2500
Al 0.6736 0.3264 0.7500

***

# 5
Below is an optimized crystal structure of La2SmAl, with properties calculated at the PBE level.

Volume   29.91 Å³/atom
ΔE_f   -0.7 eV/f.u.
Relative energy among the computed polymorphs   1.5 kJ per mole of atoms
VASP energy   -4.7538 eV/atom
Space group   P4/mmm (123)

Cell: 4.8926 4.8926 4.9975 Å, 90.00 90.00 90.00°
Fractional positions:
La 0.0000 0.5000 0.0000
La 0.5000 0.0000 0.0000
Sm 0.0000 0.0000 0.5000
Al 0.5000 0.5000 0.5000

***

# 6
Below is an optimized crystal structure of LaSm6Al, with properties calculated at the PBE level.

Volume   31.51 Å³/atom
ΔE_f   -0.4 eV/f.u.
VASP energy   -4.6702 eV/atom
Space group   P4/mmm (123)

Cell: 4.9464 4.9464 10.3025 Å, 90.00 90.00 90.00°
Fractional positions:
La 0.0000 0.0000 0.0000
Sm 0.0000 0.5000 0.2658
Sm 0.0000 0.5000 0.7342
Sm 0.5000 0.0000 0.2658
Sm 0.5000 0.0000 0.7342
Sm 0.5000 0.5000 0.0000
Sm 0.5000 0.5000 0.5000
Al 0.0000 0.0000 0.5000

***

# 7
Below is an optimized crystal structure of La2SmAl, with properties calculated at the PBE level.

Volume   30.06 Å³/atom
ΔE_f   -0.8 eV/f.u.
Relative energy among the computed polymorphs   0.0 kJ per mole of atoms
VASP energy   -4.7689 eV/atom
Space group   Amm2 (38)

Cell: 5.4259 7.1757 12.3536 Å, 90.00 90.00 90.00°
Fractional positions:
La 0.0000 0.0000 0.0000
La 0.0000 0.2319 0.7748
La 0.0000 0.2681 0.2748
La 0.0000 0.5000 0.5000
La 0.0000 0.7319 0.2748
La 0.0000 0.7681 0.7748
La 0.5000 0.0000 0.3584
La 0.5000 0.5000 0.8584
Sm 0.5000 0.2324 0.5911
Sm 0.5000 0.2676 0.0911
Sm 0.5000 0.7324 0.0911
Sm 0.5000 0.7676 0.5911
Al 0.0000 0.0000 0.5196
Al 0.0000 0.5000 0.0196
Al 0.5000 0.0000 0.8473
Al 0.5000 0.5000 0.3473

***

# 8
Below is an optimized crystal structure of LaSm2Al2, with properties calculated at the PBE level.

Volume   29.41 Å³/atom
ΔE_f   -0.7 eV/f.u.
Relative energy among the computed polymorphs   11.7 kJ per mole of atoms
VASP energy   -4.5111 eV/atom
Space group   P2_1/m (11)

Cell: 5.7561 3.8046 13.5117 Å, 90.00 96.32 90.00°
Fractional positions:
La 0.1788 0.2500 0.2328
La 0.8212 0.7500 0.7672
Sm 0.2399 0.7500 0.4614
Sm 0.3532 0.2500 0.8889
Sm 0.6468 0.7500 0.1111
Sm 0.7601 0.2500 0.5386
Al 0.1404 0.7500 0.0359
Al 0.2898 0.2500 0.6566
Al 0.7102 0.7500 0.3434
Al 0.8596 0.2500 0.9641

***

# 9
Below is an optimized crystal structure of La3SmAl, with properties calculated at the PBE level.

Volume   32.19 Å³/atom
ΔE_f   -0.6 eV/f.u.
Relative energy among the computed polymorphs   0.0 kJ per mole of atoms
VASP energy   -4.7667 eV/atom
Space group   P-1 (2)

Cell: 3.6984 9.3854 9.7405 Å, 76.08 79.13 89.98°
Fractional positions:
La 0.0010 0.3231 0.4953
La 0.1880 0.3617 0.1254
La 0.2070 0.8437 0.0876
La 0.7930 0.1563 0.9124
La 0.8120 0.6383 0.8746
La 0.9990 0.6769 0.5047
Sm 0.4066 0.9694 0.6799
Sm 0.5934 0.0306 0.3201
Al 0.3791 0.4239 0.7408
Al 0.6209 0.5761 0.2592

***

# 10
Below is an optimized crystal structure of La6SmAl, with properties calculated at the PBE level.

Volume   38.40 Å³/atom
ΔE_f   2.6 eV/f.u.
Relative energy among the computed polymorphs   38.5 kJ per mole of atoms
VASP energy   -4.4224 eV/atom
Space group   P-1 (2)

Cell: 6.6399 6.6599 8.8554 Å, 90.17 111.68 119.80°
Fractional positions:
La 0.0297 0.0688 0.2371
La 0.2773 0.7093 0.2371
La 0.3262 0.5373 0.7632
La 0.6738 0.4627 0.2368
La 0.7227 0.2907 0.7629
La 0.9703 0.9312 0.7629
Sm 0.5000 0.0000 0.0000
Al 0.5000 0.5000 0.5000

***

# 11
Below is an optimized crystal structure of La6Sm8Al, with properties calculated at the PBE level.

Volume   34.68 Å³/atom
ΔE_f   1.0 eV/f.u.
VASP energy   -4.6721 eV/atom
Space group   P-3 (147)

Cell: 9.6164 9.6164 6.4959 Å, 90.00 90.00 120.00°
Fractional positions:
La 0.0916 0.4513 0.3150
La 0.3597 0.9084 0.3150
La 0.4513 0.3597 0.6850
La 0.5487 0.6403 0.3150
La 0.6403 0.0916 0.6850
La 0.9084 0.5487 0.6850
Sm 0.0434 0.2572 0.8039
Sm 0.2138 0.9566 0.8039
Sm 0.2572 0.2138 0.1961
Sm 0.3333 0.6667 0.8277
Sm 0.6667 0.3333 0.1723
Sm 0.7428 0.7862 0.8039
Sm 0.7862 0.0434 0.1961
Sm 0.9566 0.7428 0.1961
Al 0.0000 0.0000 0.5000

***

# 12
Below is an optimized crystal structure of La3Sm4Al, with properties calculated at the PBE level.

Volume   32.05 Å³/atom
ΔE_f   -0.4 eV/f.u.
VASP energy   -4.7293 eV/atom
Space group   Pmmn (59)

Cell: 4.9558 10.1961 10.1485 Å, 90.00 90.00 90.00°
Fractional positions:
La 0.2500 0.0051 0.1151
La 0.2500 0.2500 0.8863
La 0.2500 0.4949 0.1151
La 0.7500 0.5051 0.8849
La 0.7500 0.7500 0.1137
La 0.7500 0.9949 0.8849
Sm 0.2500 0.2500 0.3646
Sm 0.2500 0.5081 0.6284
Sm 0.2500 0.7500 0.3749
Sm 0.2500 0.9919 0.6284
Sm 0.7500 0.0081 0.3716
Sm 0.7500 0.2500 0.6251
Sm 0.7500 0.4919 0.3716
Sm 0.7500 0.7500 0.6354
Al 0.2500 0.7500 0.8692
Al 0.7500 0.2500 0.1308

***

# 13
Below is an optimized crystal structure of La2Sm2Al, with properties calculated at the PBE level.

Volume   32.07 Å³/atom
ΔE_f   -0.6 eV/f.u.
VASP energy   -4.7316 eV/atom
Space group   C2/m (12)

Cell: 12.7864 3.8679 8.9369 Å, 90.00 133.49 90.00°
Fractional positions:
La 0.0853 0.0000 0.3705
La 0.4148 0.5000 0.6295
La 0.5853 0.5000 0.3705
La 0.9148 0.0000 0.6295
Sm 0.2460 0.5000 0.8330
Sm 0.2540 0.0000 0.1670
Sm 0.7460 0.0000 0.8330
Sm 0.7540 0.5000 0.1670
Al 0.0000 0.5000 0.0000
Al 0.5000 0.0000 0.0000

***

# 14
Below is an optimized crystal structure of La12SmAl3, with properties calculated at the PBE level.

Volume   32.02 Å³/atom
ΔE_f   -2.0 eV/f.u.
VASP energy   -4.8174 eV/atom
Space group   P4/mmm (123)

Cell: 5.0179 5.0179 20.3479 Å, 90.00 90.00 90.00°
Fractional positions:
La 0.0000 0.0000 0.0000
La 0.0000 0.0000 0.2414
La 0.0000 0.0000 0.5000
La 0.0000 0.0000 0.7586
La 0.0000 0.5000 0.1217
La 0.0000 0.5000 0.3650
La 0.0000 0.5000 0.6350
La 0.0000 0.5000 0.8783
La 0.5000 0.0000 0.1217
La 0.5000 0.0000 0.3650
La 0.5000 0.0000 0.6350
La 0.5000 0.0000 0.8783
Sm 0.5000 0.5000 0.5000
Al 0.5000 0.5000 0.0000
Al 0.5000 0.5000 0.2433
Al 0.5000 0.5000 0.7567

***

# 15
Below is an optimized crystal structure of La3SmAl8, with properties calculated at the PBE level.

Volume   22.23 Å³/atom
ΔE_f   -5.8 eV/f.u.
Relative energy among the computed polymorphs   1.7 kJ per mole of atoms
VASP energy   -4.6032 eV/atom
Space group   P3m1 (156)

Cell: 5.7203 5.7203 9.4132 Å, 90.00 90.00 120.00°
Fractional positions:
La 0.0000 0.0000 0.0000
La 0.0000 0.0000 0.3617
La 0.3333 0.6667 0.8643
Sm 0.3333 0.6667 0.4992
Al 0.0094 0.5047 0.1835
Al 0.3244 0.1622 0.6775
Al 0.4953 0.5047 0.1835
Al 0.4953 0.9906 0.1835
Al 0.6667 0.3333 0.4314
Al 0.6667 0.3333 0.9283
Al 0.8378 0.1622 0.6775
Al 0.8378 0.6756 0.6775

***

# 16
Below is an optimized crystal structure of LaSm3Al8, with properties calculated at the PBE level.

Volume   21.54 Å³/atom
ΔE_f   -5.9 eV/f.u.
Relative energy among the computed polymorphs   1.1 kJ per mole of atoms
VASP energy   -4.5782 eV/atom
Space group   P3m1 (156)

Cell: 5.6592 5.6592 9.3198 Å, 90.00 90.00 120.00°
Fractional positions:
La 0.0000 0.0000 0.0000
Sm 0.0000 0.0000 0.3623
Sm 0.6667 0.3333 0.4989
Sm 0.6667 0.3333 0.8637
Al 0.1622 0.3244 0.6789
Al 0.1622 0.8378 0.6789
Al 0.3333 0.6667 0.4339
Al 0.3333 0.6667 0.9307
Al 0.5046 0.0092 0.1854
Al 0.5046 0.4954 0.1854
Al 0.6756 0.8378 0.6789
Al 0.9908 0.4954 0.1854

***

# 17
Below is an optimized crystal structure of LaSm12Al3, with properties calculated at the PBE level.

Volume   29.95 Å³/atom
ΔE_f   -1.7 eV/f.u.
VASP energy   -4.6568 eV/atom
Space group   P4/mmm (123)

Cell: 4.8845 4.8845 20.0881 Å, 90.00 90.00 90.00°
Fractional positions:
La 0.0000 0.0000 0.0000
Sm 0.0000 0.5000 0.1382
Sm 0.0000 0.5000 0.3797
Sm 0.0000 0.5000 0.6203
Sm 0.0000 0.5000 0.8618
Sm 0.5000 0.0000 0.1382
Sm 0.5000 0.0000 0.3797
Sm 0.5000 0.0000 0.6203
Sm 0.5000 0.0000 0.8618
Sm 0.5000 0.5000 0.0000
Sm 0.5000 0.5000 0.2604
Sm 0.5000 0.5000 0.5000
Sm 0.5000 0.5000 0.7396
Al 0.0000 0.0000 0.2591
Al 0.0000 0.0000 0.5000
Al 0.0000 0.0000 0.7409

***

# 18
Below is an optimized crystal structure of La3SmAl8, with properties calculated at the PBE level.

Volume   22.11 Å³/atom
ΔE_f   -6.0 eV/f.u.
Relative energy among the computed polymorphs   0.0 kJ per mole of atoms
VASP energy   -4.6212 eV/atom
Space group   R3m (160)

Cell: 9.9210 9.9210 9.9210 Å, 33.53 33.53 33.53°
Fractional positions:
La 0.0000 0.0000 0.0000
La 0.1248 0.1248 0.1248
La 0.4988 0.4988 0.4988
Sm 0.6247 0.6247 0.6247
Al 0.0604 0.5615 0.5615
Al 0.0626 0.0626 0.5639
Al 0.0626 0.5639 0.0626
Al 0.3119 0.3119 0.3119
Al 0.5615 0.0604 0.5615
Al 0.5615 0.5615 0.0604
Al 0.5639 0.0626 0.0626
Al 0.8124 0.8124 0.8124

***

# 19
Below is an optimized crystal structure of La7Sm12Al, with properties calculated at the PBE level.

Volume   35.01 Å³/atom
ΔE_f   2.9 eV/f.u.
VASP energy   -4.5968 eV/atom
Space group   R-3 (148)

Cell: 8.8802 8.8802 8.8802 Å, 89.25 89.25 89.25°
Fractional positions:
La 0.0000 0.0000 0.0000
La 0.1134 0.7074 0.2725
La 0.2725 0.1134 0.7074
La 0.2926 0.7275 0.8866
La 0.7074 0.2725 0.1134
La 0.7275 0.8866 0.2926
La 0.8866 0.2926 0.7275
Sm 0.0374 0.1603 0.3749
Sm 0.1603 0.3749 0.0374
Sm 0.1785 0.4902 0.6041
Sm 0.3749 0.0374 0.1603
Sm 0.3959 0.8215 0.5098
Sm 0.4902 0.6041 0.1785
Sm 0.5098 0.3959 0.8215
Sm 0.6041 0.1785 0.4902
Sm 0.6251 0.9626 0.8397
Sm 0.8215 0.5098 0.3959
Sm 0.8397 0.6251 0.9626
Sm 0.9626 0.8397 0.6251
Al 0.5000 0.5000 0.5000

***

# 20
Below is an optimized crystal structure of La6Sm12Al, with properties calculated at the PBE level.

Volume   33.92 Å³/atom
ΔE_f   1.4 eV/f.u.
VASP energy   -4.6624 eV/atom
Space group   R-3 (148)

Cell: 8.6381 8.6381 8.6381 Å, 89.54 89.54 89.54°
Fractional positions:
La 0.2082 0.5912 0.7628
La 0.2372 0.7918 0.4088
La 0.4088 0.2372 0.7918
La 0.5912 0.7628 0.2082
La 0.7628 0.2082 0.5912
La 0.7918 0.4088 0.2372
Sm 0.0308 0.2833 0.9388
Sm 0.0612 0.9692 0.7167
Sm 0.1400 0.3308 0.4756
Sm 0.2833 0.9388 0.0308
Sm 0.3308 0.4756 0.1400
Sm 0.4756 0.1400 0.3308
Sm 0.5244 0.8600 0.6692
Sm 0.6692 0.5244 0.8600
Sm 0.7167 0.0612 0.9692
Sm 0.8600 0.6692 0.5244
Sm 0.9388 0.0308 0.2833
Sm 0.9692 0.7167 0.0612
Al 0.5000 0.5000 0.5000